Record 1
A relaxed structure of Sr2AcCrO8, computed with GGA+U.

Properties
Magnetization = 3.0 μB/f.u.
E_tot = -6.226 eV/atom

a b c (Å): 5.445 5.445 6.648
angles (deg): 90.00 90.00 120.00
Fractional positions:
1 Sr 0.333 0.667 0.374
2 Sr 0.667 0.333 0.626
3 Ac 0.000 0.000 0.000
4 Cr 0.000 0.000 0.500
5 O 0.156 0.312 0.666
6 O 0.156 0.844 0.666
7 O 0.312 0.156 0.334
8 O 0.333 0.667 0.017
9 O 0.667 0.333 0.983
10 O 0.688 0.844 0.666
11 O 0.844 0.156 0.334
12 O 0.844 0.688 0.334


Record 2
A relaxed structure of AcTa2CrO8, computed with GGA+U.

Properties
Magnetization = 3.0 μB/f.u.
E_tot = -8.997 eV/atom

a b c (Å): 5.415 5.415 7.241
angles (deg): 90.37 90.37 67.30
Fractional positions:
1 Ac 0.000 0.000 0.000
2 Ta 0.363 0.363 0.711
3 Ta 0.637 0.637 0.289
4 Cr 0.000 0.000 0.500
5 O 0.213 0.744 0.704
6 O 0.216 0.216 0.535
7 O 0.256 0.787 0.296
8 O 0.278 0.278 0.941
9 O 0.722 0.722 0.059
10 O 0.744 0.213 0.704
11 O 0.784 0.784 0.465
12 O 0.787 0.256 0.296


Record 3
A relaxed structure of AcTaCrO6, computed with GGA+U.

Properties
Magnetization = 2.0 μB/f.u.
E_tot = -8.288 eV/atom

a b c (Å): 5.696 5.696 8.391
angles (deg): 90.00 90.00 120.00
Fractional positions:
1 Ac 0.333 0.667 0.250
2 Ac 0.667 0.333 0.750
3 Ta 0.333 0.667 0.750
4 Ta 0.667 0.333 0.250
5 Cr 0.000 0.000 0.000
6 Cr 0.000 0.000 0.500
7 O 0.077 0.349 0.618
8 O 0.077 0.728 0.882
9 O 0.272 0.349 0.882
10 O 0.272 0.923 0.618
11 O 0.349 0.077 0.118
12 O 0.349 0.272 0.382
13 O 0.651 0.728 0.618
14 O 0.651 0.923 0.882
15 O 0.728 0.077 0.382
16 O 0.728 0.651 0.118
17 O 0.923 0.272 0.118
18 O 0.923 0.651 0.382


Record 4
A relaxed structure of AcTaCr2O8, computed with GGA+U.

Properties
Magnetization = 4.0 μB/f.u.
E_tot = -8.017 eV/atom

a b c (Å): 5.988 5.988 5.988
angles (deg): 106.24 106.24 116.15
Fractional positions:
1 Ac 0.000 0.000 0.000
2 Ta 0.250 0.750 0.500
3 Cr 0.500 0.500 0.000
4 Cr 0.750 0.250 0.500
5 O 0.333 0.126 0.793
6 O 0.333 0.540 0.207
7 O 0.372 0.036 0.336
8 O 0.460 0.667 0.793
9 O 0.700 0.036 0.664
10 O 0.874 0.667 0.207
11 O 0.964 0.300 0.336
12 O 0.964 0.628 0.664


Record 5
A relaxed structure of Ac2TaCrO6, computed with GGA+U.

Properties
Magnetization = 2.2 μB/f.u.
E_tot = -8.432 eV/atom

a b c (Å): 5.727 5.727 4.135
angles (deg): 90.00 90.00 90.00
Fractional positions:
1 Ac 0.000 0.500 0.000
2 Ac 0.500 0.000 0.000
3 Ta 0.000 0.000 0.500
4 Cr 0.500 0.500 0.500
5 O 0.000 0.000 0.000
6 O 0.250 0.250 0.500
7 O 0.250 0.750 0.500
8 O 0.500 0.500 0.000
9 O 0.750 0.250 0.500
10 O 0.750 0.750 0.500


Record 6
A relaxed structure of Ac2TbCrO6, computed with GGA+U.

Properties
Magnetization = 3.0 μB/f.u.
E_tot = -8.067 eV/atom

a b c (Å): 5.859 5.859 5.943
angles (deg): 119.37 119.37 60.05
Fractional positions:
1 Ac 0.247 0.247 0.232
2 Ac 0.753 0.753 0.768
3 Tb 0.000 0.000 0.500
4 Cr 0.500 0.500 0.000
5 O 0.203 0.685 0.179
6 O 0.264 0.264 0.668
7 O 0.315 0.797 0.821
8 O 0.685 0.203 0.179
9 O 0.736 0.736 0.332
10 O 0.797 0.315 0.821


Record 7
A relaxed structure of AcCr2TcO8, computed with GGA+U.

Properties
Magnetization = 4.1 μB/f.u.
E_tot = -7.591 eV/atom

a b c (Å): 4.965 4.965 6.941
angles (deg): 98.69 98.69 78.32
Fractional positions:
1 Ac 0.000 0.000 0.000
2 Cr 0.448 0.448 0.777
3 Cr 0.552 0.552 0.223
4 Tc 0.000 0.000 0.500
5 O 0.227 0.767 0.289
6 O 0.233 0.773 0.711
7 O 0.238 0.238 0.565
8 O 0.338 0.338 0.989
9 O 0.662 0.662 0.011
10 O 0.762 0.762 0.435
11 O 0.767 0.227 0.289
12 O 0.773 0.233 0.711


Record 8
A relaxed structure of AcCrTc2O8, computed with GGA+U.

Properties
Magnetization = 7.0 μB/f.u.
E_tot = -7.778 eV/atom

a b c (Å): 5.536 5.536 7.015
angles (deg): 90.00 90.00 120.00
Fractional positions:
1 Ac 0.000 0.000 0.000
2 Cr 0.000 0.000 0.500
3 Tc 0.333 0.667 0.731
4 Tc 0.667 0.333 0.269
5 O 0.062 0.300 0.690
6 O 0.238 0.938 0.690
7 O 0.300 0.238 0.310
8 O 0.333 0.667 0.990
9 O 0.667 0.333 0.010
10 O 0.700 0.762 0.690
11 O 0.762 0.062 0.310
12 O 0.938 0.700 0.310


Record 9
A relaxed structure of AcCrTcO6, computed with GGA+U.

Properties
Magnetization = 4.0 μB/f.u.
E_tot = -7.873 eV/atom

a b c (Å): 5.243 5.243 5.310
angles (deg): 90.00 90.00 120.00
Fractional positions:
1 Ac 0.000 0.000 0.000
2 Cr 0.333 0.667 0.500
3 Tc 0.667 0.333 0.500
4 O 0.385 0.008 0.706
5 O 0.385 0.377 0.294
6 O 0.623 0.008 0.294
7 O 0.623 0.615 0.706
8 O 0.992 0.377 0.706
9 O 0.992 0.615 0.294


Record 10
A relaxed structure of Ac2CrTcO8, computed with GGA+U.

Properties
Magnetization = 3.0 μB/f.u.
E_tot = -7.745 eV/atom

a b c (Å): 5.220 6.011 6.373
angles (deg): 77.54 69.15 76.11
Fractional positions:
1 Ac 0.127 0.179 0.152
2 Ac 0.873 0.821 0.848
3 Cr 0.500 0.000 0.500
4 Tc 0.500 0.500 0.500
5 O 0.266 0.804 0.448
6 O 0.269 0.474 0.806
7 O 0.288 0.323 0.436
8 O 0.303 0.963 0.832
9 O 0.697 0.037 0.168
10 O 0.712 0.677 0.564
11 O 0.731 0.526 0.194
12 O 0.734 0.196 0.552


Record 11
A relaxed structure of AcCrTeO6, computed with GGA+U.

Properties
Magnetization = 3.0 μB/f.u.
E_tot = -7.049 eV/atom

a b c (Å): 5.272 5.272 5.401
angles (deg): 90.00 90.00 120.00
Fractional positions:
1 Ac 0.000 0.000 0.000
2 Cr 0.333 0.667 0.500
3 Te 0.667 0.333 0.500
4 O 0.380 0.010 0.705
5 O 0.380 0.370 0.295
6 O 0.630 0.010 0.295
7 O 0.630 0.620 0.705
8 O 0.990 0.370 0.705
9 O 0.990 0.620 0.295


Record 12
A relaxed structure of Ac2CrTeO8, computed with GGA+U.

Properties
Magnetization = 2.0 μB/f.u.
E_tot = -7.087 eV/atom

a b c (Å): 5.419 6.051 6.285
angles (deg): 77.29 68.28 76.80
Fractional positions:
1 Ac 0.129 0.181 0.151
2 Ac 0.871 0.819 0.849
3 Cr 0.500 0.000 0.500
4 Te 0.500 0.500 0.500
5 O 0.257 0.482 0.815
6 O 0.278 0.808 0.437
7 O 0.289 0.972 0.818
8 O 0.295 0.309 0.435
9 O 0.705 0.691 0.565
10 O 0.711 0.028 0.182
11 O 0.722 0.192 0.563
12 O 0.743 0.518 0.185


Record 13
A relaxed structure of AcCrTeO2, computed with GGA+U.

Properties
Magnetization = 3.0 μB/f.u.
E_tot = -6.958 eV/atom

a b c (Å): 6.918 6.918 5.777
angles (deg): 90.00 90.00 128.07
Fractional positions:
1 Ac 0.110 0.890 0.750
2 Ac 0.890 0.110 0.250
3 Cr 0.492 0.508 0.250
4 Cr 0.508 0.492 0.750
5 Te 0.269 0.731 0.250
6 Te 0.731 0.269 0.750
7 O 0.268 0.268 0.000
8 O 0.268 0.268 0.500
9 O 0.732 0.732 0.000
10 O 0.732 0.732 0.500


Record 14
A relaxed structure of AcCr2TeO8, computed with GGA+U.

Properties
Magnetization = 3.0 μB/f.u.
E_tot = -6.823 eV/atom

a b c (Å): 4.200 5.353 7.967
angles (deg): 90.08 93.10 106.29
Fractional positions:
1 Ac 0.000 0.000 0.000
2 Cr 0.261 0.608 0.722
3 Cr 0.739 0.392 0.278
4 Te 0.000 0.000 0.500
5 O 0.125 0.286 0.291
6 O 0.148 0.252 0.718
7 O 0.368 0.779 0.537
8 O 0.394 0.742 0.924
9 O 0.606 0.258 0.076
10 O 0.632 0.221 0.463
11 O 0.852 0.748 0.282
12 O 0.875 0.714 0.709


Record 15
A relaxed structure of Ac2TiCrO6, computed with GGA+U.

Properties
Magnetization = 2.3 μB/f.u.
E_tot = -8.295 eV/atom

a b c (Å): 5.650 5.650 4.034
angles (deg): 90.00 90.00 90.00
Fractional positions:
1 Ac 0.000 0.500 0.000
2 Ac 0.500 0.000 0.000
3 Ti 0.000 0.000 0.500
4 Cr 0.500 0.500 0.500
5 O 0.000 0.000 0.000
6 O 0.250 0.250 0.500
7 O 0.250 0.750 0.500
8 O 0.500 0.500 0.000
9 O 0.750 0.250 0.500
10 O 0.750 0.750 0.500


Record 16
A relaxed structure of AcTiCr2O6, computed with GGA+U.

Properties
Magnetization = 7.0 μB/f.u.
E_tot = -7.791 eV/atom

a b c (Å): 5.484 5.484 5.866
angles (deg): 90.00 90.00 90.00
Fractional positions:
1 Ac 0.000 0.000 0.000
2 Ti 0.500 0.500 0.141
3 Cr 0.000 0.500 0.370
4 Cr 0.500 0.000 0.370
5 O 0.000 0.000 0.627
6 O 0.260 0.260 0.254
7 O 0.260 0.740 0.254
8 O 0.500 0.500 0.850
9 O 0.740 0.260 0.254
10 O 0.740 0.740 0.254


Record 17
A relaxed structure of AcTiCrO6, computed with GGA+U.

Properties
Magnetization = 1.0 μB/f.u.
E_tot = -7.976 eV/atom

a b c (Å): 5.128 5.128 10.676
angles (deg): 90.00 90.00 120.00
Fractional positions:
1 Ac 0.000 0.000 0.000
2 Ac 0.000 0.000 0.500
3 Ti 0.333 0.667 0.250
4 Ti 0.667 0.333 0.750
5 Cr 0.333 0.667 0.750
6 Cr 0.667 0.333 0.250
7 O 0.011 0.391 0.648
8 O 0.011 0.619 0.852
9 O 0.381 0.391 0.852
10 O 0.381 0.989 0.648
11 O 0.391 0.011 0.148
12 O 0.391 0.381 0.352
13 O 0.609 0.619 0.648
14 O 0.609 0.989 0.852
15 O 0.619 0.011 0.352
16 O 0.619 0.609 0.148
17 O 0.989 0.381 0.148
18 O 0.989 0.609 0.352


Record 18
A relaxed structure of Ac3Tl4CrO8, computed with GGA+U.

Properties
Magnetization = 1.0 μB/f.u.
E_tot = -6.101 eV/atom

a b c (Å): 7.775 7.775 7.775
angles (deg): 56.84 56.84 56.84
Fractional positions:
1 Ac 0.000 0.500 0.500
2 Ac 0.500 0.000 0.500
3 Ac 0.500 0.500 0.000
4 Tl 0.000 0.000 0.500
5 Tl 0.000 0.500 0.000
6 Tl 0.500 0.000 0.000
7 Tl 0.500 0.500 0.500
8 Cr 0.000 0.000 0.000
9 O 0.204 0.204 0.764
10 O 0.204 0.764 0.204
11 O 0.236 0.796 0.796
12 O 0.270 0.270 0.270
13 O 0.730 0.730 0.730
14 O 0.764 0.204 0.204
15 O 0.796 0.236 0.796
16 O 0.796 0.796 0.236


Record 19
A relaxed structure of AcTlCrO4, computed with GGA+U.

Properties
Magnetization = 2.0 μB/f.u.
E_tot = -6.823 eV/atom

a b c (Å): 6.535 5.958 7.799
angles (deg): 90.00 102.09 90.00
Fractional positions:
1 Ac 0.211 0.250 0.085
2 Ac 0.789 0.750 0.915
3 Tl 0.321 0.250 0.628
4 Tl 0.679 0.750 0.372
5 Cr 0.278 0.750 0.851
6 Cr 0.722 0.250 0.149
7 O 0.093 0.518 0.841
8 O 0.093 0.982 0.841
9 O 0.445 0.750 0.699
10 O 0.449 0.750 0.063
11 O 0.551 0.250 0.937
12 O 0.555 0.250 0.301
13 O 0.907 0.018 0.159
14 O 0.907 0.482 0.159


Record 20
A relaxed structure of Ac3Tl3CrO8, computed with GGA+U.

Properties
Magnetization = 2.0 μB/f.u.
E_tot = -6.417 eV/atom

a b c (Å): 7.372 7.378 7.657
angles (deg): 118.70 90.06 119.95
Fractional positions:
1 Ac 0.000 0.000 0.000
2 Ac 0.000 0.500 0.000
3 Ac 0.500 0.000 0.000
4 Tl 0.000 0.000 0.500
5 Tl 0.500 0.000 0.500
6 Tl 0.500 0.500 0.500
7 Cr 0.500 0.500 0.000
8 O 0.230 0.960 0.190
9 O 0.273 0.471 0.170
10 O 0.301 0.103 0.830
11 O 0.301 0.529 0.830
12 O 0.699 0.471 0.170
13 O 0.699 0.897 0.170
14 O 0.727 0.529 0.830
15 O 0.770 0.040 0.810


Short version: density = 5.7 6.5 7.8 6.5 9.6 8.7 5.6 5.4 6.2 6.8 6.4 6.9 6.7 5.7 8.4 4.5 5.8 9.0 6.1 8.2 g cm⁻³, in the order given.